The following is a DFT calculation (PBE) of a relaxed structure of MgIn2Fe.

Cell: 4.978 4.978 5.601 Å, 78.08 78.08 36.52°
Last column: magnetic moment on the atom in μB.
Fractional coordinates of all 4 atoms:
Fe 0.750 0.750 0.750  2.59
In 0.012 0.012 0.979  -0.03
In 0.488 0.488 0.521  -0.03
Mg 0.250 0.250 0.250  -0.01

Summary:
The formation energy comes out at 85 kJ/mol of formula units. Its calculated volume is 20.15 Å³/atom.